# ZnAg2C (PBE-GGA, optimized geometry)
data_ZnAg2C
_space_group_name_H-M_alt 'P 1'
_space_group_IT_number 1
_cell_length_a 4.905
_cell_length_b 4.905
_cell_length_c 7.226
_cell_angle_alpha 70.16
_cell_angle_beta 70.16
_cell_angle_gamma 90.00
loop_
_space_group_symop_operation_xyz
'x,y,z'
loop_
_atom_site_label
_atom_site_type_symbol
_atom_site_fract_x
_atom_site_fract_y
_atom_site_fract_z
Ag1 Ag 0.515 0.125 0.250
Ag2 Ag 0.375 0.485 0.750
Ag3 Ag 0.235 0.625 0.250
C1 C 0.500 0.500 0.000
Ag4 Ag 0.875 0.765 0.750
C2 C 0.250 0.750 0.500
Zn1 Zn 0.750 0.250 0.500
Zn2 Zn 0.000 0.000 0.000
# - SG = I-42d, No. 122
# - total DFT energy (no corrections) (eV for the cell shown) = -22.46
# - V (Å³/atom) = 19.1
# - magnetic moment (μB/f.u.) = 0.0
# - theoretical density (Mg/m³) = 6.38